This record from Alexandria via LeMat-Bulk describes crystalline Zr2BeIn at its relaxed geometry. The functional is PBE.

Unit cell a=8.838 b=8.838 c=8.838 alpha=21.56 beta=21.56 gamma=21.56
Fractional positions:
Zr 0.234 0.234 0.234
Zr 0.766 0.766 0.766
Be 0.500 0.500 0.500
In 0.000 0.000 0.000

Computed properties:
Crystal system ... trigonal
Formation energy from the elements ... -0.007 eV/atom
Uncorrected energy ... -5.8969 eV per atom
Space group ... R-3m

---

This record from Alexandria via LeMat-Bulk describes crystalline ZrBe2In2 at its relaxed geometry. The functional is PBE.

Unit cell a=6.212 b=6.212 c=6.212 alpha=142.51 beta=142.51 gamma=54.07
Fractional positions:
Zr 0.000 0.000 0.000
Be 0.250 0.750 0.500
Be 0.750 0.250 0.500
In 0.378 0.378 0.000
In 0.622 0.622 0.000

Computed properties:
Crystal system ... tetragonal
Formation energy from the elements ... 0.227 eV/atom
Uncorrected energy ... -4.0687 eV per atom
Space group ... I4/mmm

---

This record from Alexandria via LeMat-Bulk describes crystalline Zr2BeIn at its relaxed geometry. The functional is PBE.

Unit cell a=5.153 b=5.153 c=5.153 alpha=130.29 beta=130.29 gamma=72.94
Fractional positions:
Zr 0.250 0.750 0.500
Zr 0.750 0.250 0.500
Be 0.000 0.000 0.000
In 0.500 0.500 0.000

Computed properties:
Crystal system ... tetragonal
Formation energy from the elements ... -0.077 eV/atom
Uncorrected energy ... -5.9668 eV per atom
Space group ... I4/mmm

---

This record from Alexandria via LeMat-Bulk describes crystalline ZrBe2In at its relaxed geometry. The functional is PBE.

Unit cell a=3.100 b=3.100 c=6.674 alpha=90.00 beta=90.00 gamma=90.00
Fractional positions:
Zr 0.000 0.000 0.000
Be 0.500 0.500 0.262
Be 0.500 0.500 0.738
In 0.000 0.000 0.500

Computed properties:
Crystal system ... tetragonal
Formation energy from the elements ... 0.228 eV/atom
Uncorrected energy ... -4.4566 eV per atom
Space group ... P4/mmm

---

This record from Alexandria via LeMat-Bulk describes crystalline ZrBeIn2 at its relaxed geometry. The functional is PBE.

Unit cell a=4.240 b=4.240 c=4.281 alpha=90.00 beta=90.00 gamma=90.00
Fractional positions:
Zr 0.000 0.000 0.000
Be 0.500 0.500 0.000
In 0.000 0.500 0.500
In 0.500 0.000 0.500

Computed properties:
Crystal system ... tetragonal
Formation energy from the elements ... -0.058 eV/atom
Uncorrected energy ... -4.4960 eV per atom
Space group ... P4/mmm

---

This record from Alexandria via LeMat-Bulk describes crystalline ZrBe2In at its relaxed geometry. The functional is PBE.

Unit cell a=3.751 b=3.683 c=4.880 alpha=90.00 beta=112.39 gamma=90.00
Fractional positions:
Zr 0.000 0.000 0.000
Be 0.299 0.000 0.595
Be 0.424 0.500 0.847
In 0.714 0.500 0.427

Computed properties:
Crystal system ... monoclinic
Formation energy from the elements ... -0.026 eV/atom
Uncorrected energy ... -4.7106 eV per atom
Space group ... Pm

---

This record from Alexandria via LeMat-Bulk describes crystalline Zr2Be2In at its relaxed geometry. The functional is PBE.

Unit cell a=6.536 b=6.536 c=3.940 alpha=90.00 beta=90.00 gamma=90.00
Fractional positions:
Zr 0.168 0.332 0.000
Zr 0.332 0.832 0.000
Zr 0.668 0.168 0.000
Zr 0.832 0.668 0.000
Be 0.118 0.618 0.500
Be 0.382 0.118 0.500
Be 0.618 0.882 0.500
Be 0.882 0.382 0.500
In 0.000 0.000 0.500
In 0.500 0.500 0.500

Computed properties:
Crystal system ... tetragonal
Formation energy from the elements ... -0.283 eV/atom
Uncorrected energy ... -5.7402 eV per atom
Space group ... P4/mbm

---

This record from Alexandria via LeMat-Bulk describes crystalline Be2Ir at its relaxed geometry. The functional is PBE.

Unit cell a=4.472 b=4.472 c=4.472 alpha=133.00 beta=105.78 gamma=92.64
Fractional positions:
Be 0.207 0.165 0.042
Be 0.377 0.835 0.542
Be 0.623 0.165 0.458
Be 0.793 0.835 0.958
Ir 0.218 0.468 0.750
Ir 0.782 0.532 0.250

Computed properties:
Crystal system ... orthorhombic
Formation energy from the elements ... -0.543 eV/atom
Uncorrected energy ... -5.9806 eV per atom
Space group ... Imma

---

This record from Alexandria via LeMat-Bulk describes crystalline Be2Ir at its relaxed geometry. The functional is PBE.

Unit cell a=4.436 b=4.436 c=5.716 alpha=107.46 beta=107.46 gamma=36.67
Fractional positions:
Be 0.030 0.030 0.286
Be 0.344 0.344 0.954
Be 0.656 0.656 0.046
Be 0.970 0.970 0.714
Ir 0.324 0.324 0.350
Ir 0.676 0.676 0.650

Computed properties:
Crystal system ... monoclinic
Formation energy from the elements ... -0.373 eV/atom
Uncorrected energy ... -5.8108 eV per atom
Space group ... C2/m

---

This record from Alexandria via LeMat-Bulk describes crystalline Be24Ir5 at its relaxed geometry. The functional is PBE.

Unit cell a=6.992 b=6.992 c=6.992 alpha=109.47 beta=109.47 gamma=109.47
Fractional positions:
Be 0.000 0.326 0.614
Be 0.000 0.614 0.326
Be 0.000 0.633 0.813
Be 0.000 0.813 0.633
Be 0.180 0.367 0.367
Be 0.187 0.187 0.820
Be 0.187 0.820 0.187
Be 0.289 0.674 0.674
Be 0.326 0.000 0.614
Be 0.326 0.614 0.000
Be 0.367 0.180 0.367
Be 0.367 0.367 0.180
Be 0.386 0.386 0.711
Be 0.386 0.711 0.386
Be 0.614 0.000 0.326
Be 0.614 0.326 0.000
Be 0.633 0.000 0.813
Be 0.633 0.813 0.000
Be 0.674 0.289 0.674
Be 0.674 0.674 0.289
Be 0.711 0.386 0.386
Be 0.813 0.000 0.633
Be 0.813 0.633 0.000
Be 0.820 0.187 0.187
Ir 0.000 0.000 0.000
Ir 0.000 0.000 0.396
Ir 0.000 0.396 0.000
Ir 0.396 0.000 0.000
Ir 0.604 0.604 0.604

Computed properties:
Crystal system ... cubic
Formation energy from the elements ... -0.356 eV/atom
Uncorrected energy ... -4.9677 eV per atom
Space group ... I-43m

---

This record from Alexandria via LeMat-Bulk describes crystalline BeIr5 at its relaxed geometry. The functional is PBE.

Unit cell a=4.713 b=4.713 c=4.334 alpha=90.00 beta=90.00 gamma=120.00
Fractional positions:
Be 0.000 0.000 0.000
Ir 0.000 0.674 0.500
Ir 0.326 0.326 0.500
Ir 0.333 0.667 0.000
Ir 0.667 0.333 0.000
Ir 0.674 0.000 0.500

Computed properties:
Crystal system ... hexagonal
Formation energy from the elements ... 0.015 eV/atom
Uncorrected energy ... -7.9900 eV per atom
Space group ... P-62m

---

This record from Alexandria via LeMat-Bulk describes crystalline Be7Ir6 at its relaxed geometry. The functional is PBE.

Unit cell a=8.654 b=8.654 c=8.654 alpha=30.07 beta=30.07 gamma=30.07
Fractional positions:
Be 0.000 0.000 0.000
Be 0.091 0.091 0.585
Be 0.091 0.585 0.091
Be 0.415 0.909 0.909
Be 0.585 0.091 0.091
Be 0.909 0.415 0.909
Be 0.909 0.909 0.415
Ir 0.165 0.165 0.165
Ir 0.339 0.339 0.339
Ir 0.448 0.448 0.448
Ir 0.552 0.552 0.552
Ir 0.661 0.661 0.661
Ir 0.835 0.835 0.835

Computed properties:
Crystal system ... trigonal
Formation energy from the elements ... -0.255 eV/atom
Uncorrected energy ... -6.3513 eV per atom
Space group ... R-3m

---

This record from Alexandria via LeMat-Bulk describes crystalline Be5Ir at its relaxed geometry. The functional is PBE.

Unit cell a=5.627 b=5.627 c=3.593 alpha=90.00 beta=90.00 gamma=150.52
Fractional positions:
Be 0.000 0.000 0.000
Be 0.171 0.829 0.500
Be 0.329 0.671 0.000
Be 0.671 0.329 0.000
Be 0.829 0.171 0.500
Ir 0.500 0.500 0.500

Computed properties:
Crystal system ... orthorhombic
Formation energy from the elements ... -0.245 eV/atom
Uncorrected energy ... -4.8266 eV per atom
Space group ... Cmmm

---

This record from Alexandria via LeMat-Bulk describes crystalline Be12Ir at its relaxed geometry. The functional is PBE.

Unit cell a=6.077 b=6.077 c=6.077 alpha=60.00 beta=60.00 gamma=60.00
Fractional positions:
Be 0.000 0.000 0.333
Be 0.000 0.000 0.667
Be 0.000 0.333 0.000
Be 0.000 0.333 0.667
Be 0.000 0.667 0.000
Be 0.000 0.667 0.333
Be 0.333 0.000 0.000
Be 0.333 0.000 0.667
Be 0.333 0.667 0.000
Be 0.667 0.000 0.000
Be 0.667 0.000 0.333
Be 0.667 0.333 0.000
Ir 0.500 0.500 0.500

Computed properties:
Crystal system ... cubic
Formation energy from the elements ... 1.244 eV/atom
Uncorrected energy ... -2.8768 eV per atom
Space group ... Fm-3m

---

This record from Alexandria via LeMat-Bulk describes crystalline Be2Ir at its relaxed geometry. The functional is PBE.

Unit cell a=8.298 b=8.298 c=8.298 alpha=160.12 beta=160.12 gamma=28.27
Fractional positions:
Be 0.303 0.553 0.750
Be 0.447 0.697 0.750
Be 0.553 0.303 0.250
Be 0.697 0.447 0.250
Ir 0.125 0.875 0.250
Ir 0.875 0.125 0.750

Computed properties:
Crystal system ... tetragonal
Formation energy from the elements ... -0.243 eV/atom
Uncorrected energy ... -5.6812 eV per atom
Space group ... I4_1/amd

---

This record from Alexandria via LeMat-Bulk describes crystalline Be2Ir at its relaxed geometry. The functional is PBE.

Unit cell a=3.722 b=3.722 c=2.733 alpha=90.00 beta=90.00 gamma=90.00
Fractional positions:
Be 0.000 0.500 0.000
Be 0.500 0.000 0.000
Ir 0.000 0.000 0.500

Computed properties:
Crystal system ... tetragonal
Formation energy from the elements ... -0.290 eV/atom
Uncorrected energy ... -5.7275 eV per atom
Space group ... P4/mmm

---

This record from Alexandria via LeMat-Bulk describes crystalline BeIr7 at its relaxed geometry. The functional is PBE.

Unit cell a=5.417 b=5.417 c=5.417 alpha=60.00 beta=60.00 gamma=60.00
Fractional positions:
Be 0.000 0.000 0.000
Ir 0.000 0.000 0.500
Ir 0.000 0.500 0.000
Ir 0.000 0.500 0.500
Ir 0.500 0.000 0.000
Ir 0.500 0.000 0.500
Ir 0.500 0.500 0.000
Ir 0.500 0.500 0.500

Computed properties:
Crystal system ... cubic
Formation energy from the elements ... -0.064 eV/atom
Uncorrected energy ... -8.2834 eV per atom
Space group ... Fm-3m

---

This record from Alexandria via LeMat-Bulk describes crystalline Be2Ir at its relaxed geometry. The functional is PBE.

Unit cell a=3.627 b=3.627 c=2.669 alpha=90.00 beta=90.00 gamma=120.00
Fractional positions:
Be 0.333 0.667 0.000
Be 0.667 0.333 0.000
Ir 0.000 0.000 0.500

Computed properties:
Crystal system ... hexagonal
Formation energy from the elements ... -0.510 eV/atom
Uncorrected energy ... -5.9474 eV per atom
Space group ... P6/mmm

---

This record from Alexandria via LeMat-Bulk describes crystalline Be5Ir at its relaxed geometry. The functional is PBE.

Unit cell a=4.279 b=4.279 c=5.065 alpha=107.67 beta=107.67 gamma=39.15
Fractional positions:
Be 0.000 0.000 0.000
Be 0.327 0.327 0.674
Be 0.332 0.332 0.153
Be 0.668 0.668 0.847
Be 0.673 0.673 0.326
Ir 0.000 0.000 0.500

Computed properties:
Crystal system ... monoclinic
Formation energy from the elements ... -0.263 eV/atom
Uncorrected energy ... -4.8449 eV per atom
Space group ... C2/m

---

This record from Alexandria via LeMat-Bulk describes crystalline Be2Ir at its relaxed geometry. The functional is PBE.

Unit cell a=6.357 b=6.357 c=2.808 alpha=90.00 beta=90.00 gamma=120.00
Fractional positions:
Be 0.000 0.286 0.000
Be 0.000 0.613 0.500
Be 0.286 0.000 0.000
Be 0.387 0.387 0.500
Be 0.613 0.000 0.500
Be 0.714 0.714 0.000
Ir 0.000 0.000 0.500
Ir 0.333 0.667 0.000
Ir 0.667 0.333 0.000

Computed properties:
Crystal system ... hexagonal
Formation energy from the elements ... -0.314 eV/atom
Uncorrected energy ... -5.7516 eV per atom
Space group ... P-62m

---

This record from Alexandria via LeMat-Bulk describes crystalline Be13Ir2 at its relaxed geometry. The functional is PBE.

Unit cell a=6.713 b=6.713 c=6.713 alpha=50.34 beta=50.34 gamma=50.34
Fractional positions:
Be 0.000 0.000 0.000
Be 0.117 0.117 0.495
Be 0.117 0.495 0.117
Be 0.249 0.249 0.626
Be 0.249 0.626 0.249
Be 0.374 0.751 0.751
Be 0.495 0.117 0.117
Be 0.505 0.883 0.883
Be 0.626 0.249 0.249
Be 0.751 0.374 0.751
Be 0.751 0.751 0.374
Be 0.883 0.505 0.883
Be 0.883 0.883 0.505
Ir 0.132 0.132 0.132
Ir 0.868 0.868 0.868

Computed properties:
Crystal system ... trigonal
Formation energy from the elements ... 0.197 eV/atom
Uncorrected energy ... -4.2134 eV per atom
Space group ... R-3m

---

This record from Alexandria via LeMat-Bulk describes crystalline Be6Ir at its relaxed geometry. The functional is PBE.

Unit cell a=4.687 b=4.687 c=4.687 alpha=109.47 beta=109.47 gamma=109.47
Fractional positions:
Be 0.250 0.500 0.750
Be 0.250 0.750 0.500
Be 0.500 0.250 0.750
Be 0.500 0.750 0.250
Be 0.750 0.250 0.500
Be 0.750 0.500 0.250
Ir 0.000 0.000 0.000

Computed properties:
Crystal system ... cubic
Formation energy from the elements ... 1.373 eV/atom
Uncorrected energy ... -3.0863 eV per atom
Space group ... Im-3m

---

This record from Alexandria via LeMat-Bulk describes crystalline Be2Ir at its relaxed geometry. The functional is PBE.

Unit cell a=6.683 b=6.683 c=3.391 alpha=90.00 beta=90.00 gamma=156.12
Fractional positions:
Be 0.046 0.954 0.750
Be 0.209 0.791 0.750
Be 0.791 0.209 0.250
Be 0.954 0.046 0.250
Ir 0.388 0.612 0.750
Ir 0.612 0.388 0.250

Computed properties:
Crystal system ... orthorhombic
Formation energy from the elements ... -0.512 eV/atom
Uncorrected energy ... -5.9497 eV per atom
Space group ... Cmcm

---

This record from Alexandria via LeMat-Bulk describes crystalline Be5Ir at its relaxed geometry. The functional is PBE.

Unit cell a=4.200 b=4.200 c=3.470 alpha=90.00 beta=90.00 gamma=120.00
Fractional positions:
Be 0.000 0.500 0.000
Be 0.333 0.667 0.500
Be 0.500 0.000 0.000
Be 0.500 0.500 0.000
Be 0.667 0.333 0.500
Ir 0.000 0.000 0.500

Computed properties:
Crystal system ... hexagonal
Formation energy from the elements ... -0.269 eV/atom
Uncorrected energy ... -4.8514 eV per atom
Space group ... P6/mmm